[1]
Below is RbSb3Pd after structural relaxation, with properties calculated at the PBE level.

POSCAR file:
```
RbSb3Pd
1.0
6.596 0.000 0.000
0.000 6.582 0.000
-1.189 0.000 7.774
Rb Sb Pd
2 6 2
Direct
0.167 0.000 0.375
0.833 0.500 0.625
0.036 0.013 0.847
0.355 0.324 0.826
0.472 0.396 0.190
0.528 0.896 0.810
0.645 0.824 0.174
0.964 0.513 0.153
0.259 0.701 0.996
0.741 0.201 0.004
```

**Relative energy among the computed polymorphs**: 0 meV per atom
**ΔE_f (raw)**: -0.310 eV per atom
**Magnetization**: 0.0 Bohr magnetons per cell
**SG**: P2_1



[2]
Below is Li3Mg2Tl4 after structural relaxation, with properties calculated at the PBE level.

POSCAR file:
```
Li3Mg2Tl4
1.0
4.553 -2.411 0.000
4.553 2.411 0.000
-1.141 0.000 9.297
Li Mg Tl
3 2 4
Direct
0.000 0.000 0.000
0.348 0.348 0.434
0.652 0.652 0.566
0.310 0.310 0.767
0.690 0.690 0.233
0.032 0.032 0.340
0.349 0.349 0.108
0.651 0.651 0.892
0.968 0.968 0.660
```

**DFT formation energy**: -13.7 kJ/mol of atoms
**Magnetization**: 0.0 Bohr magnetons per cell
**SG**: C2/m



[3]
Below is Cd3InPt after structural relaxation, with properties calculated at the PBE level.

POSCAR file:
```
Cd3InPt
1.0
5.344 -4.109 0.000
5.344 4.109 0.000
-4.541 0.000 5.568
Cd In Pt
6 2 2
Direct
0.057 0.057 0.259
0.057 0.411 0.777
0.411 0.057 0.777
0.589 0.943 0.223
0.943 0.589 0.223
0.943 0.943 0.741
0.419 0.419 0.631
0.581 0.581 0.369
0.264 0.264 0.141
0.736 0.736 0.859
```

**Relative energy among the computed polymorphs**: 0 meV per atom
**DFT formation energy**: -13.7 kJ/mol of atoms
**Magnetization**: 0.0 Bohr magnetons per cell
**SG**: C2/m



[4]
Below is Mg6BiB after structural relaxation, with properties calculated at the PBE level.

POSCAR file:
```
Mg6BiB
1.0
4.513 0.000 0.000
0.000 6.086 0.000
0.000 0.000 12.973
Mg Bi B
12 2 2
Direct
0.000 0.000 0.000
0.000 0.223 0.721
0.000 0.277 0.221
0.000 0.500 0.500
0.000 0.723 0.221
0.000 0.777 0.721
0.500 0.000 0.147
0.500 0.245 0.883
0.500 0.255 0.383
0.500 0.500 0.647
0.500 0.745 0.383
0.500 0.755 0.883
0.000 0.000 0.484
0.000 0.500 0.984
0.500 0.000 0.739
0.500 0.500 0.239
```

**Relative energy among the computed polymorphs**: 69 meV per atom
**DFT formation energy**: 24.3 kJ/mol of atoms
**Magnetization**: 0.0 Bohr magnetons per cell
**SG**: Amm2



[5]
Below is TcNiAu2 after structural relaxation, with properties calculated at the PBE level.

POSCAR file:
```
TcNiAu2
1.0
2.781 0.000 0.000
0.000 2.781 0.000
0.000 0.000 7.951
Tc Ni Au
1 1 2
Direct
0.000 0.000 0.000
0.500 0.500 0.801
0.000 0.000 0.558
0.500 0.500 0.268
```

**Relative energy among the computed polymorphs**: 0 meV per atom
**DFT formation energy**: 12.1 kJ/mol of atoms
**Magnetization**: 0.0 Bohr magnetons per cell
**SG**: P4mm



[6]
Below is BaCoAs2 after structural relaxation, with properties calculated at the PBE level.

POSCAR file:
```
BaCoAs2
1.0
0.000 11.430 2.851
2.904 0.000 2.851
2.904 11.430 0.000
Ba Co As
2 2 4
Direct
0.117 0.883 0.117
0.883 0.117 0.883
0.251 0.251 0.249
0.751 0.751 0.749
0.303 0.700 0.300
0.510 0.939 0.490
0.700 0.303 0.697
0.939 0.510 0.061
```

**DFT formation energy**: -61.9 kJ/mol of atoms
**Magnetization**: 1.1 Bohr magnetons per cell
**SG**: Fmm2



[7]
Below is YTaPO2 after structural relaxation, with properties calculated at the PBE level.

POSCAR file:
```
YTaPO2
1.0
4.091 0.000 0.000
0.000 4.091 0.000
0.000 0.000 5.619
Y Ta P O
1 1 1 2
Direct
0.000 0.000 0.000
0.500 0.500 0.500
0.000 0.000 0.500
0.000 0.500 0.000
0.500 0.000 0.000
```

**Relative energy among the computed polymorphs**: 1515 meV per atom
**ΔE_f (raw)**: -0.489 eV per atom
**Magnetization**: 1.4 Bohr magnetons per cell
**SG**: P4/mmm



[8]
Below is LiGdRh2 after structural relaxation, with properties calculated at the PBE level.

POSCAR file:
```
LiGdRh2
1.0
4.193 0.000 0.000
0.000 4.193 0.000
0.000 0.000 3.832
Li Gd Rh
1 1 2
Direct
0.000 0.000 0.000
0.500 0.500 0.000
0.000 0.500 0.500
0.500 0.000 0.500
```

**DFT formation energy**: -43.9 kJ/mol of atoms
**Magnetization**: 7.0 Bohr magnetons per cell
**SG**: P4/mmm



[9]
Below is RbCu2AsO after structural relaxation, with properties calculated at the PBE level.

POSCAR file:
```
RbCu2AsO
1.0
5.271 0.000 0.000
0.000 5.271 0.000
0.000 0.000 4.090
Rb Cu As O
1 2 1 1
Direct
0.000 0.000 0.000
0.000 0.500 0.000
0.500 0.000 0.000
0.500 0.500 0.500
0.000 0.000 0.500
```

**ΔE_f (raw)**: 1.404 eV per atom
**Magnetization**: 0.0 Bohr magnetons per cell
**SG**: P4/mmm



[10]
Below is CaCoMo3 after structural relaxation, with properties calculated at the PBE level.

POSCAR file:
```
CaCoMo3
1.0
4.519 0.000 0.000
0.000 4.519 0.000
0.000 0.000 4.519
Ca Co Mo
1 1 3
Direct
0.000 0.000 0.000
0.500 0.500 0.500
0.000 0.000 0.500
0.000 0.500 0.000
0.500 0.000 0.000
```

**Relative energy among the computed polymorphs**: 1875 meV per atom
**DFT formation energy**: 284.5 kJ/mol of atoms
**Magnetization**: 0.0 Bohr magnetons per cell
**SG**: Pm-3m



[11]
Below is NaIn6Ag12 after structural relaxation, with properties calculated at the PBE level.

POSCAR file:
```
NaIn6Ag12
1.0
6.225 3.594 3.147
-6.225 3.594 3.147
0.000 -7.188 3.147
Na In Ag
1 6 12
Direct
0.000 0.000 0.000
0.294 0.294 0.699
0.294 0.699 0.294
0.301 0.706 0.706
0.699 0.294 0.294
0.706 0.301 0.706
0.706 0.706 0.301
0.111 0.500 0.889
0.111 0.889 0.500
0.115 0.354 0.354
0.354 0.115 0.354
0.354 0.354 0.115
0.500 0.111 0.889
0.500 0.889 0.111
0.646 0.646 0.885
0.646 0.885 0.646
0.885 0.646 0.646
0.889 0.111 0.500
0.889 0.500 0.111
```

**Relative energy among the computed polymorphs**: 59 meV per atom
**DFT formation energy**: 6.7 kJ/mol of atoms
**Magnetization**: 0.0 Bohr magnetons per cell
**SG**: R-3m



[12]
Below is K2PmSb3Pt4 after structural relaxation, with properties calculated at the PBE level.

POSCAR file:
```
K2PmSb3Pt4
1.0
4.747 0.000 0.000
0.000 4.747 0.000
0.000 0.000 11.083
K Pm Sb Pt
2 1 3 4
Direct
0.000 0.500 0.233
0.500 0.000 0.767
0.000 0.000 0.500
0.000 0.500 0.882
0.500 0.000 0.118
0.500 0.500 0.500
0.000 0.000 0.000
0.000 0.500 0.643
0.500 0.000 0.357
0.500 0.500 0.000
```

**ΔE_f (raw)**: -0.589 eV per atom
**Magnetization**: 0.0 Bohr magnetons per cell
**SG**: P-4m2